A plane-wave DFT calculation with GGA-PBE was carried out for a geometry-optimized In3GaTc structure.

## Properties
Raw total energy ... -3.99 eV/atom
Energy of formation from the pure elements ... 0.33 eV/atom
V ... 28.39 Å³ per atom
Relative energy among the computed polymorphs ... 0 kJ/mol of formula units

Cell: 5.2167 5.2167 5.2167 Å, 90.00 90.00 90.00°
Closest atoms and distances in Å follow each position.
Space group Pm-3m (No. 221)
Asymmetric unit:
In (0.0000, 0.0000, 0.5000)  2 Tc 2.61
Ga (0.5000, 0.5000, 0.5000)  12 In 3.69
Tc (0.0000, 0.0000, 0.0000)  6 In 2.61